Record 1
An optimized crystal structure of SrGeRh2Au, computed with PBE-GGA.

a = 4.697 Å, b = 4.697 Å, c = 4.923 Å
α = 90.00°, β = 90.00°, γ = 90.00°
Fractional coordinates of all 5 atoms:
Sr: 0.000 0.000 0.000
Ge: 0.500 0.500 0.500
Rh: 0.000 0.500 0.500
Rh: 0.500 0.000 0.500
Au: 0.500 0.500 0.000

Calculated values
D(E_F) = 3.1 states/eV per cell
mass density = 8.61 g/cm³
formation energy from the elements = -0.8 eV/f.u.
total energy = -5.024 eV per atom

Record 2
An optimized crystal structure of Sr2Ge4RhAu3, computed with PBE-GGA.

a = 4.509 Å, b = 4.509 Å, c = 10.579 Å
α = 90.00°, β = 90.00°, γ = 90.00°
Fractional coordinates of all 10 atoms:
Sr: 0.000 0.500 0.247
Sr: 0.500 0.000 0.753
Ge: 0.000 0.000 0.500
Ge: 0.000 0.500 0.884
Ge: 0.500 0.000 0.116
Ge: 0.500 0.500 0.500
Rh: 0.500 0.500 0.000
Au: 0.000 0.000 0.000
Au: 0.000 0.500 0.639
Au: 0.500 0.000 0.361

Calculated values
D(E_F) = 4.8 states/eV per cell
mass density = 8.95 g/cm³
formation energy from the elements = -5.2 eV/f.u.
total energy = -4.424 eV per atom

Record 3
An optimized crystal structure of Sr2GeRhAu, computed with PBE-GGA.

a = 5.785 Å, b = 5.785 Å, c = 4.634 Å
α = 90.00°, β = 90.00°, γ = 90.00°
Fractional coordinates of all 5 atoms:
Sr: 0.000 0.500 0.000
Sr: 0.500 0.000 0.000
Ge: 0.000 0.000 0.500
Rh: 0.000 0.000 0.000
Au: 0.500 0.500 0.500

Calculated values
D(E_F) = 4.3 states/eV per cell
mass density = 5.86 g/cm³
formation energy from the elements = -2.1 eV/f.u.
total energy = -4.145 eV per atom

Record 4
An optimized crystal structure of Th2Ge4Rh3Au, computed with PBE-GGA.

a = 4.326 Å, b = 4.326 Å, c = 10.162 Å
α = 90.00°, β = 90.00°, γ = 90.00°
Fractional coordinates of all 10 atoms:
Th: 0.000 0.500 0.244
Th: 0.500 0.000 0.756
Ge: 0.000 0.000 0.000
Ge: 0.000 0.500 0.641
Ge: 0.500 0.000 0.359
Ge: 0.500 0.500 0.000
Rh: 0.000 0.500 0.879
Rh: 0.500 0.000 0.121
Rh: 0.500 0.500 0.500
Au: 0.000 0.000 0.500

Calculated values
D(E_F) = 6.9 states/eV per cell
mass density = 11.00 g/cm³
formation energy from the elements = -7.8 eV/f.u.
total energy = -6.648 eV per atom

Record 5
An optimized crystal structure of Th2Ge3Rh4Au, computed with PBE-GGA.

a = 4.084 Å, b = 4.084 Å, c = 11.403 Å
α = 90.00°, β = 90.00°, γ = 90.00°
Fractional coordinates of all 10 atoms:
Th: 0.000 0.500 0.243
Th: 0.500 0.000 0.757
Ge: 0.000 0.000 0.000
Ge: 0.000 0.500 0.620
Ge: 0.500 0.000 0.380
Rh: 0.000 0.000 0.500
Rh: 0.000 0.500 0.832
Rh: 0.500 0.000 0.168
Rh: 0.500 0.500 0.500
Au: 0.500 0.500 0.000

Calculated values
D(E_F) = 5.7 states/eV per cell
mass density = 11.27 g/cm³
formation energy from the elements = -8.0 eV/f.u.
total energy = -6.941 eV per atom

Record 6
An optimized crystal structure of ThGe2Rh5Au, computed with PBE-GGA.

a = 4.533 Å, b = 4.533 Å, c = 7.747 Å
α = 90.00°, β = 90.00°, γ = 90.00°
Fractional coordinates of all 9 atoms:
Th: 0.000 0.000 0.000
Ge: 0.500 0.500 0.338
Ge: 0.500 0.500 0.662
Rh: 0.000 0.500 0.249
Rh: 0.000 0.500 0.751
Rh: 0.500 0.000 0.249
Rh: 0.500 0.000 0.751
Rh: 0.500 0.500 0.000
Au: 0.000 0.000 0.500

Calculated values
D(E_F) = 2.8 states/eV per cell
mass density = 11.36 g/cm³
formation energy from the elements = -3.1 eV/f.u.
total energy = -6.643 eV per atom

Record 7
An optimized crystal structure of Tm2Ge2Rh5Au, computed with PBE-GGA.

a = 9.670 Å, b = 9.670 Å, c = 3.623 Å
α = 90.00°, β = 90.00°, γ = 90.00°
Fractional coordinates of all 20 atoms:
Tm: 0.174 0.326 0.000
Tm: 0.326 0.826 0.000
Tm: 0.674 0.174 0.000
Tm: 0.826 0.674 0.000
Ge: 0.125 0.625 0.000
Ge: 0.375 0.125 0.000
Ge: 0.625 0.875 0.000
Ge: 0.875 0.375 0.000
Rh: 0.000 0.500 0.500
Rh: 0.068 0.791 0.500
Rh: 0.209 0.068 0.500
Rh: 0.291 0.568 0.500
Rh: 0.432 0.291 0.500
Rh: 0.500 0.000 0.500
Rh: 0.568 0.709 0.500
Rh: 0.709 0.432 0.500
Rh: 0.791 0.932 0.500
Rh: 0.932 0.209 0.500
Au: 0.000 0.000 0.000
Au: 0.500 0.500 0.000

Calculated values
D(E_F) = 10.9 states/eV per cell
mass density = 11.71 g/cm³
formation energy from the elements = -7.4 eV/f.u.
total energy = -6.564 eV per atom

Record 8
An optimized crystal structure of Ge2Ru2Au, computed with PBE-GGA.

a = 6.509 Å, b = 6.509 Å, c = 6.509 Å
α = 146.86°, β = 146.86°, γ = 47.58°
Fractional coordinates of all 5 atoms:
Ge: 0.250 0.750 0.500
Ge: 0.750 0.250 0.500
Ru: 0.109 0.109 0.000
Ru: 0.891 0.891 0.000
Au: 0.500 0.500 0.000

Calculated values
D(E_F) = 3.7 states/eV per cell
mass density = 11.01 g/cm³
formation energy from the elements = 0.5 eV/f.u.
total energy = -6.110 eV per atom

Record 9
An optimized crystal structure of GeRu2Au2, computed with PBE-GGA.

a = 6.260 Å, b = 6.260 Å, c = 4.324 Å
α = 90.00°, β = 90.00°, γ = 90.00°
Fractional coordinates of all 10 atoms:
Ge: 0.000 0.000 0.000
Ge: 0.500 0.500 0.000
Ru: 0.137 0.363 0.000
Ru: 0.363 0.863 0.000
Ru: 0.637 0.137 0.000
Ru: 0.863 0.637 0.000
Au: 0.170 0.670 0.500
Au: 0.330 0.170 0.500
Au: 0.670 0.830 0.500
Au: 0.830 0.330 0.500

Calculated values
D(E_F) = 7.7 states/eV per cell
mass density = 13.11 g/cm³
formation energy from the elements = 0.9 eV/f.u.
total energy = -5.766 eV per atom

Record 10
An optimized crystal structure of GeRuAu, computed with PBE-GGA.

a = 4.639 Å, b = 4.072 Å, c = 5.827 Å
α = 90.00°, β = 110.01°, γ = 90.00°
Fractional coordinates of all 6 atoms:
Ge: 0.148 0.250 0.298
Ge: 0.852 0.750 0.702
Ru: 0.283 0.750 0.553
Ru: 0.717 0.250 0.447
Au: 0.349 0.750 0.085
Au: 0.651 0.250 0.915

Calculated values
D(E_F) = 3.5 states/eV per cell
mass density = 11.90 g/cm³
formation energy from the elements = -0.1 eV/f.u.
total energy = -5.742 eV per atom

Record 11
An optimized crystal structure of GeRuAu2, computed with PBE-GGA.

a = 10.386 Å, b = 10.386 Å, c = 10.386 Å
α = 159.03°, β = 159.03°, γ = 29.82°
Fractional coordinates of all 8 atoms:
Ge: 0.000 0.000 0.000
Ge: 0.750 0.250 0.500
Ru: 0.250 0.750 0.500
Ru: 0.500 0.500 0.000
Au: 0.126 0.625 0.001
Au: 0.375 0.376 0.501
Au: 0.624 0.125 0.999
Au: 0.875 0.874 0.499

Calculated values
D(E_F) = 6.2 states/eV per cell
mass density = 13.15 g/cm³
formation energy from the elements = 1.3 eV/f.u.
total energy = -4.783 eV per atom

Record 12
An optimized crystal structure of GeRu4Au2, computed with PBE-GGA.

a = 7.360 Å, b = 7.360 Å, c = 7.360 Å
α = 144.11°, β = 144.11°, γ = 51.66°
Fractional coordinates of all 7 atoms:
Ge: 0.000 0.000 0.000
Ru: 0.000 0.500 0.500
Ru: 0.179 0.179 0.000
Ru: 0.500 0.000 0.500
Ru: 0.821 0.821 0.000
Au: 0.377 0.377 0.000
Au: 0.623 0.623 0.000

Calculated values
D(E_F) = 9.9 states/eV per cell
mass density = 10.61 g/cm³
formation energy from the elements = 8.3 eV/f.u.
total energy = -5.711 eV per atom

Record 13
An optimized crystal structure of GeRuAu, computed with PBE-GGA.

a = 4.932 Å, b = 4.932 Å, c = 5.581 Å
α = 107.30°, β = 107.30°, γ = 108.78°
Fractional coordinates of all 6 atoms:
Ge: 0.210 0.210 0.450
Ge: 0.790 0.790 0.550
Ru: 0.259 0.741 0.500
Ru: 0.741 0.259 0.500
Au: 0.231 0.769 0.000
Au: 0.769 0.231 0.000

Calculated values
D(E_F) = 2.9 states/eV per cell
mass density = 11.14 g/cm³
formation energy from the elements = 0.0 eV/f.u.
total energy = -5.740 eV per atom

Record 14
An optimized crystal structure of GeRuAu, computed with PBE-GGA.

a = 2.933 Å, b = 4.903 Å, c = 4.903 Å
α = 44.63°, β = 90.00°, γ = 90.00°
Fractional coordinates of all 3 atoms:
Ge: 0.000 0.000 0.000
Ru: 0.500 0.413 0.413
Au: 0.000 0.704 0.704

Calculated values
D(E_F) = 2.0 states/eV per cell
mass density = 12.43 g/cm³
formation energy from the elements = 0.2 eV/f.u.
total energy = -5.662 eV per atom

Record 15
An optimized crystal structure of GeRuAu, computed with PBE-GGA.

a = 4.042 Å, b = 2.865 Å, c = 4.781 Å
α = 90.00°, β = 90.09°, γ = 90.00°
Fractional coordinates of all 3 atoms:
Ge: 0.000 0.000 0.000
Ru: 0.500 0.500 0.000
Au: 0.500 0.000 0.500

Calculated values
D(E_F) = 0.9 states/eV per cell
mass density = 11.12 g/cm³
formation energy from the elements = 0.0 eV/f.u.
total energy = -5.740 eV per atom

Record 16
An optimized crystal structure of SrGeRuAu2, computed with PBE-GGA.

a = 5.123 Å, b = 5.123 Å, c = 5.152 Å
α = 90.00°, β = 90.00°, γ = 90.00°
Fractional coordinates of all 5 atoms:
Sr: 0.000 0.000 0.000
Ge: 0.500 0.500 0.000
Ru: 0.000 0.000 0.500
Au: 0.000 0.500 0.500
Au: 0.500 0.000 0.500

Calculated values
D(E_F) = 6.1 states/eV per cell
mass density = 8.05 g/cm³
formation energy from the elements = 3.8 eV/f.u.
total energy = -3.669 eV per atom

Record 17
An optimized crystal structure of GeTeRuAu2, computed with PBE-GGA.

a = 5.199 Å, b = 5.199 Å, c = 4.879 Å
α = 90.00°, β = 90.00°, γ = 90.00°
Fractional coordinates of all 5 atoms:
Ge: 0.000 0.000 0.000
Te: 0.500 0.500 0.500
Ru: 0.500 0.500 0.000
Au: 0.000 0.500 0.500
Au: 0.500 0.000 0.500

Calculated values
D(E_F) = 2.4 states/eV per cell
mass density = 8.76 g/cm³
ΔE_f (raw) = 1.056 eV/atom
total energy = -3.662 eV per atom

Record 18
An optimized crystal structure of GeAuS3, computed with PBE-GGA.

a = 10.090 Å, b = 10.090 Å, c = 6.726 Å
α = 90.00°, β = 90.00°, γ = 160.60°
Fractional coordinates of all 10 atoms:
Ge: 0.173 0.827 0.500
Ge: 0.827 0.173 0.000
Au: 0.396 0.604 0.480
Au: 0.604 0.396 0.980
S: 0.085 0.915 0.742
S: 0.254 0.746 0.089
S: 0.394 0.606 0.829
S: 0.606 0.394 0.329
S: 0.746 0.254 0.589
S: 0.915 0.085 0.242

Calculated values
D(E_F) = 1.9 states/eV per cell
mass density = 5.34 g/cm³
ΔE_f (raw) = 0.012 eV/atom
total energy = -4.044 eV per atom

Record 19
An optimized crystal structure of GeAuS, computed with PBE-GGA.

a = 3.536 Å, b = 3.536 Å, c = 5.967 Å
α = 107.01°, β = 107.01°, γ = 59.99°
Fractional coordinates of all 3 atoms:
Ge: 0.000 0.000 0.000
Au: 0.568 0.568 0.697
S: 0.420 0.420 0.259

Calculated values
D(E_F) = 1.0 states/eV per cell
mass density = 8.24 g/cm³
ΔE_f (raw) = -0.046 eV/atom
total energy = -4.054 eV per atom

Record 20
An optimized crystal structure of Ge2AuS, computed with PBE-GGA.

a = 7.447 Å, b = 7.447 Å, c = 7.447 Å
α = 27.63°, β = 27.63°, γ = 27.63°
Fractional coordinates of all 4 atoms:
Ge: 0.000 0.000 0.000
Ge: 0.172 0.172 0.172
Au: 0.420 0.420 0.420
S: 0.594 0.594 0.594

Calculated values
D(E_F) = 1.7 states/eV per cell
mass density = 7.93 g/cm³
ΔE_f (raw) = 0.045 eV/atom
total energy = -4.115 eV per atom